Material: YHgW2
Method: DFT, PBE
State: relaxed

Results
As for the energy of formation: 1.0 eV per formula unit. The magnetization is 0.0 μB/f.u. The value obtained for the mass density is 13.3 Mg/m³. Its raw total energy is -31.68 eV/cell.

abc: 3.309 3.309 7.493
angles: 90.00 90.00 90.00
Fractional positions:
Y: 0.000 0.000 0.000
Hg: 0.500 0.500 0.298
W: 0.000 0.000 0.555
W: 0.500 0.500 0.723